# 1
The following is a PBE-GGA calculation of an optimized crystal structure of TcOs2N, from Alexandria via LeMat-Bulk.

Unit cell a=5.0367 b=5.0367 c=6.1365 alpha=65.77 beta=65.77 gamma=90.00
Fractional coordinates of all 8 atoms:
1 N 0.2500 0.7500 0.5000
2 Os 0.3750 0.4526 0.7500
3 Os 0.2026 0.6250 0.2500
4 Tc 0.7500 0.2500 0.5000
5 Tc 0.0000 0.0000 0.0000
6 N 0.5000 0.5000 0.0000
7 Os 0.5474 0.1250 0.2500
8 Os 0.8750 0.7974 0.7500

Results
DOS at the Fermi energy   0.39 states/eV/atom
VASP energy   -9.534 eV per atom
Space group   I-42d (122)

***

# 2
The following is a PBE-GGA calculation of an optimized crystal structure of TcOs3N, from Alexandria via LeMat-Bulk.

Unit cell a=4.7061 b=4.7061 c=4.7061 alpha=90.00 beta=90.00 gamma=90.00
Fractional coordinates of all 5 atoms:
1 N 0.5000 0.5000 0.5000
2 Os 0.0000 0.0000 0.5000
3 Os 0.5000 0.0000 0.0000
4 Tc 0.0000 0.0000 0.0000
5 Os 0.0000 0.5000 0.0000

Results
DOS at the Fermi energy   1.22 states/eV/atom
Offset from the most stable computed form   13.82 eV/f.u.
VASP energy   -7.038 eV per atom
Space group   Pm-3m (221)

***

no.,calculated density (kg/m3)
1,12901
2,10877